{
  "formula": "PrZr3",
  "functional": "PBE",
  "state": "relaxed",
  "crystal_system": "orthorhombic",
  "e_form_ev_per_atom": 0.149,
  "vol_a3_per_cell": 206.0,
  "m_tot_mub_per_fu": 0.00,
  "cell": [[3.356, -5.743, 0.000], [3.356, 5.743, 0.000], [0.000, 0.000, 5.345]],
  "species": ["Pr", "Pr", "Zr", "Zr", "Zr", "Zr", "Zr", "Zr"],
  "fractional_positions": [[0.087, 0.913, 0.750], [0.913, 0.087, 0.250], [0.094, 0.433, 0.750], [0.417, 0.583, 0.250], [0.433, 0.094, 0.250], [0.567, 0.906, 0.750], [0.583, 0.417, 0.750], [0.906, 0.567, 0.250]]
}